No. 1
Here is an optimized crystal structure of BaZnPd from Alexandria. Energies are from GGA-PBE.

Geometry as extended XYZ:
```
3
Lattice="-2.0777 0.2974 4.1211 4.0279 -0.2045 2.0455 -1.7423 4.0064 -1.1675" Properties=species:S:1:pos:R:3 pbc="T T T"
Ba -1.2039 2.8010 2.6507
Pd -0.3465 0.0496 0.6872
Zn 1.7583 1.2487 1.6612
```

Summary:
Its total energy is -3.315 eV per atom. The value obtained for the spin magnetization is 0.0 μB per formula unit. Its formation energy is -0.52 eV/atom. As for the space group: No. 187.

No. 2
Here is an optimized crystal structure of BaZnPd from Alexandria. Energies are from GGA-PBE.

Geometry as extended XYZ:
```
12
Lattice="-2.3283 1.0557 6.4657 0.8644 -6.7524 1.4137 6.4940 1.2773 2.1300" Properties=species:S:1:pos:R:3 pbc="T T T"
Zn 0.8336 0.0716 5.2004
Ba 0.8329 -3.1075 7.1106
Ba 4.1960 -4.4916 4.8094
Zn 4.1975 -1.3113 2.8993
Ba 4.2421 -0.5463 6.5282
Pd 2.1466 -1.8860 4.2715
Pd 1.6283 1.2159 7.3166
Ba 0.7893 -0.6935 1.5706
Zn 4.2405 -3.7256 8.4380
Zn 0.7888 -3.8736 3.4810
Pd 6.3433 -2.6098 3.2580
Pd -0.0579 -5.5591 5.1727
```

Summary:
Its total energy is -3.275 eV per atom. The value obtained for the spin magnetization is 0.0 μB per formula unit. Its formation energy is -0.48 eV/atom. As for the space group: No. 198.

No. 3
Here is an optimized crystal structure of BaZn2Pd2 from Alexandria. Energies are from GGA-PBE.

Geometry as extended XYZ:
```
10
Lattice="5.4617 0.0059 2.3425 2.7362 5.1763 1.1732 -0.2261 -0.0006 8.0736" Properties=species:S:1:pos:R:3 pbc="T T T"
Pd 3.3127 3.8861 5.4925
Pd 4.7761 3.8869 2.0567
Ba 6.7751 3.8911 4.9505
Pd 4.6591 1.2955 6.0969
Zn 1.3071 0.4753 2.6001
Zn 3.9213 3.0585 7.8136
Zn 6.6646 4.7063 8.9892
Pd 3.1956 1.2946 9.5327
Ba 1.1966 1.2905 6.6389
Zn 4.0504 2.1230 3.7757
```

Summary:
Its total energy is -3.488 eV per atom. The value obtained for the spin magnetization is 0.0 μB per formula unit. Its formation energy is -0.52 eV/atom. As for the space group: No. 2.

No. 4
Here is an optimized crystal structure of Ba2Zn12Pd5 from Alexandria. Energies are from GGA-PBE.

Geometry as extended XYZ:
```
19
Lattice="7.0438 0.0253 0.6202 0.5702 7.0207 0.6202 0.0273 0.0253 7.0710" Properties=species:S:1:pos:R:3 pbc="T T T"
Zn 5.0834 4.7042 1.7509
Zn 4.7921 0.9506 5.2124
Pd 0.2851 3.5104 0.3101
Pd 0.0137 0.0126 3.5355
Pd 3.5219 0.0126 0.3101
Zn 2.5578 2.3670 6.5604
Pd 6.8456 6.3349 7.4458
Ba 2.6599 2.4615 2.8932
Zn 5.1002 0.0253 2.4071
Zn 5.2506 1.9630 0.6202
Zn 1.9709 0.0253 5.2841
Zn 2.3634 5.0830 0.6202
Pd 0.7957 0.7363 0.8655
Ba 4.9813 4.6097 5.4181
Zn 0.1777 1.9630 5.2841
Zn 1.3185 4.7042 5.2124
Zn 6.3228 2.3670 3.0989
Zn 0.4198 5.0830 2.4071
Zn 2.8491 6.1207 3.0989
```

Summary:
Its total energy is -2.722 eV per atom. The value obtained for the spin magnetization is 0.0 μB per formula unit. Its formation energy is -0.35 eV/atom. As for the space group: No. 166.

No. 5
Here is an optimized crystal structure of BaZn3Pd3 from Alexandria. Energies are from GGA-PBE.

Geometry as extended XYZ:
```
14
Lattice="-1.8770 5.7876 2.9494 -6.5559 1.5905 0.4572 -3.1931 -0.9934 7.6677" Properties=species:S:1:pos:R:3 pbc="T T T"
Pd -3.6009 1.2400 6.6603
Pd -8.0252 5.1448 4.4139
Ba -5.6254 4.8871 2.3309
Zn -7.8065 3.8256 6.6477
Zn -5.8157 5.5352 5.8829
Zn -3.8195 2.5591 4.4266
Pd -8.0966 1.1748 6.3629
Zn -7.6817 2.5860 4.2148
Pd -5.6073 1.7265 2.7486
Pd -3.5295 5.2099 4.7114
Pd -6.0188 4.6582 8.3257
Zn -5.8103 0.8495 5.1914
Ba -6.0006 1.4976 8.7434
Zn -3.9443 3.7987 6.8595
```

Summary:
Its total energy is -3.367 eV per atom. The value obtained for the spin magnetization is 0.0 μB per formula unit. Its formation energy is -0.32 eV/atom. As for the space group: No. 148.

No. 6
Here is an optimized crystal structure of BaZrPd3 from Alexandria. Energies are from GGA-PBE.

Geometry as extended XYZ:
```
5
Lattice="5.2591 0.0000 0.0000 0.0000 5.2591 0.0000 0.0000 0.0000 5.2591" Properties=species:S:1:pos:R:3 pbc="T T T"
Zr 2.6295 2.6295 2.6295
Ba 0.0000 0.0000 0.0000
Pd 2.6295 0.0000 0.0000
Pd 0.0000 0.0000 2.6295
Pd 0.0000 2.6295 0.0000
```

Summary:
Its total energy is -4.020 eV per atom. The value obtained for the spin magnetization is 2.1 μB per formula unit. Its formation energy is 1.19 eV/atom. As for the space group: No. 221.

No. 7
Here is an optimized crystal structure of Ba2ZrPd2 from Alexandria. Energies are from GGA-PBE.

Geometry as extended XYZ:
```
10
Lattice="7.3667 0.0000 0.0000 0.0000 7.3667 0.0000 0.0000 0.0000 5.2748" Properties=species:S:1:pos:R:3 pbc="T T T"
Ba 6.1156 2.4323 2.6374
Ba 2.4323 1.2511 2.6374
Pd 1.0338 2.6495 0.0000
Ba 1.2511 4.9344 2.6374
Zr 3.6833 3.6833 0.0000
Pd 4.7172 1.0338 0.0000
Pd 2.6495 6.3329 0.0000
Ba 4.9344 6.1156 2.6374
Zr 0.0000 0.0000 0.0000
Pd 6.3329 4.7172 0.0000
```

Summary:
Its total energy is -4.742 eV per atom. The value obtained for the spin magnetization is 0.0 μB per formula unit. Its formation energy is -0.19 eV/atom. As for the space group: No. 127.

No. 8
Here is an optimized crystal structure of Ba3ZrPd from Alexandria. Energies are from GGA-PBE.

Geometry as extended XYZ:
```
5
Lattice="-4.1323 -4.1130 -1.9219 3.7417 -4.5573 1.7078 -2.5710 -0.0218 5.5746" Properties=species:S:1:pos:R:3 pbc="T T T"
Ba 1.8709 -2.2786 0.8539
Zr -1.4808 -4.3460 2.6803
Pd 0.0000 0.0000 0.0000
Ba -2.0661 -2.0565 -0.9609
Ba -1.2855 -0.0109 2.7873
```

Summary:
Its total energy is -3.539 eV per atom. The value obtained for the spin magnetization is 3.2 μB per formula unit. Its formation energy is 0.36 eV/atom. As for the space group: No. 221.

No. 9
Here is an optimized crystal structure of BaZrPd3 from Alexandria. Energies are from GGA-PBE.

Geometry as extended XYZ:
```
5
Lattice="-4.7453 1.1894 -1.5169 -1.9001 -3.5645 3.1492 -0.3243 3.4804 3.7436" Properties=species:S:1:pos:R:3 pbc="T T T"
Pd -2.3727 0.5947 -0.7584
Pd -0.9500 -1.7822 1.5746
Pd -0.1622 1.7402 1.8718
Zr 0.0000 0.0000 0.0000
Ba -3.4849 0.5527 2.6880
```

Summary:
Its total energy is -5.315 eV per atom. The value obtained for the spin magnetization is 0.0 μB per formula unit. Its formation energy is -0.10 eV/atom. As for the space group: No. 221.

No. 10
Here is an optimized crystal structure of Ba2ZrPd2 from Alexandria. Energies are from GGA-PBE.

Geometry as extended XYZ:
```
10
Lattice="-7.0263 -2.4598 -5.1650 -3.0093 -5.3679 6.6503 -1.8163 2.5656 1.2490" Properties=species:S:1:pos:R:3 pbc="T T T"
Zr -5.0178 -3.9139 0.7426
Pd -3.7329 -0.4455 0.0669
Ba -5.1525 -5.5292 3.8650
Zr 0.0000 0.0000 0.0000
Ba -2.0531 -2.2870 1.7122
Pd -7.7192 -2.5195 -1.4699
Ba -7.9826 -5.5408 -0.2269
Pd -8.1191 -4.8167 2.6673
Ba -4.8832 -2.2985 -2.3797
Pd -4.1327 -2.7427 4.2042
```

Summary:
Its total energy is -4.346 eV per atom. The value obtained for the spin magnetization is 0.5 μB per formula unit. Its formation energy is 0.21 eV/atom. As for the space group: No. 127.

No. 11
Here is an optimized crystal structure of Ba2ZrPd2 from Alexandria. Energies are from GGA-PBE.

Geometry as extended XYZ:
```
5
Lattice="-1.1498 -3.6326 -0.1291 0.6008 -0.3235 3.7509 -10.5119 1.1942 3.7244" Properties=species:S:1:pos:R:3 pbc="T T T"
Ba -8.1027 -1.6155 5.0336
Pd -5.9681 -2.2083 2.7030
Zr 0.0000 0.0000 0.0000
Ba -2.9582 -1.1465 2.3125
Pd -5.0928 -0.5537 4.6431
```

Summary:
Its total energy is -4.318 eV per atom. The value obtained for the spin magnetization is 2.8 μB per formula unit. Its formation energy is 0.24 eV/atom. As for the space group: No. 139.

No. 12
Here is an optimized crystal structure of BaPm5 from Alexandria. Energies are from GGA-PBE.

Geometry as extended XYZ:
```
6
Lattice="-4.3686 3.0054 0.2465 -1.5871 -1.9256 -4.6514 -3.0472 -4.9277 6.0748" Properties=species:S:1:pos:R:3 pbc="T T T"
Ba 0.0000 0.0000 0.0000
Pm -2.1297 -3.0119 -1.0215
Pm -3.5150 -0.5380 1.4221
Pm -2.5047 -3.8413 2.4449
Pm -5.4881 -3.3098 0.2477
Pm -2.9779 0.5399 -2.2025
```

Summary:
Its total energy is -4.151 eV per atom. The value obtained for the spin magnetization is 0.0 μB per formula unit. Its formation energy is 0.13 eV/atom. As for the space group: No. 65.